No. 1
# PBE YMgCu, optimized geometry
# Total moment   0.000 μB per atom
# Electronic total energy   -4.02 eV/atom
# Energy above the most stable polymorph in this dataset   251 meV/atom
# ΔH_f (0 K)   0.10 eV per formula unit
data_YMgCu
_chemical_formula_sum 'Y2 Mg2 Cu2'
_space_group_name_H-M_alt 'P m c 21'
_space_group_IT_number 26
_cell_length_a 3.7915
_cell_length_b 5.5164
_cell_length_c 6.6606
_cell_angle_alpha 90.00
_cell_angle_beta 90.00
_cell_angle_gamma 90.00
loop_
_space_group_symop_operation_xyz
'x,y,z'
'-x,-y,z+1/2'
'-x,y,z'
'x,-y,z+1/2'
loop_
_atom_site_label
_atom_site_type_symbol
_atom_site_fract_x
_atom_site_fract_y
_atom_site_fract_z
Y1 Y 0.0000 0.0986 0.0000
Mg1 Mg 0.5000 0.3901 0.6404
Cu1 Cu 0.0000 0.3919 0.3549



No. 2
# PBE La2ZnMo, optimized geometry
# Total moment   0.000 μB per atom
# Electronic total energy   -5.31 eV/atom
# ΔH_f (0 K)   0.72 eV per formula unit
data_La2ZnMo
_chemical_formula_sum 'La4 Zn2 Mo2'
_space_group_name_H-M_alt 'I m m 2'
_space_group_IT_number 44
_cell_length_a 3.8625
_cell_length_b 4.9872
_cell_length_c 10.1419
_cell_angle_alpha 90.00
_cell_angle_beta 90.00
_cell_angle_gamma 90.00
loop_
_space_group_symop_operation_xyz
'x,y,z'
'-x,-y,z'
'-x,y,z'
'x,-y,z'
'x+1/2,y+1/2,z+1/2'
'-x+1/2,-y+1/2,z+1/2'
'-x+1/2,y+1/2,z+1/2'
'x+1/2,-y+1/2,z+1/2'
loop_
_atom_site_label
_atom_site_type_symbol
_atom_site_fract_x
_atom_site_fract_y
_atom_site_fract_z
La1 La 0.0000 0.0000 0.0000
La2 La 0.0000 0.5000 0.2084
Zn1 Zn 0.0000 0.0000 0.4383
Mo1 Mo 0.0000 0.5000 0.7662



No. 3
# PBE GaTeIN2, optimized geometry
# Total moment   0.000 μB per atom
# Electronic total energy   -3.25 eV/atom
# Energy above the most stable polymorph in this dataset   380 meV/atom
# Formation energy from raw total energies   1.623 eV per atom
data_GaTeIN2
_chemical_formula_sum 'Ga1 Te1 I1 N2'
_space_group_name_H-M_alt 'P 4/m m m'
_space_group_IT_number 123
_space_group_name_Hall '-P 4 2'
_cell_length_a 4.0202
_cell_length_b 4.0202
_cell_length_c 8.0584
_cell_angle_alpha 90.00
_cell_angle_beta 90.00
_cell_angle_gamma 90.00
loop_
_atom_site_label
_atom_site_type_symbol
_atom_site_fract_x
_atom_site_fract_y
_atom_site_fract_z
Ga1 Ga 0.0000 0.0000 0.0000
Te1 Te 0.5000 0.5000 0.0000
I1 I 0.5000 0.5000 0.5000
N1 N 0.0000 0.5000 0.5000